Record 1
Computed, not measured: crystalline MgAsOs4 at its relaxed geometry at the GGA-PBEsol level of DFT.

Results
The calculation puts the density of states at the Fermi level at 8.98 states/eV/f.u. The calculation puts the formation energy at 697 meV per atom.

Cell lengths 5.1721, 5.1721, 5.1721 Å; angles 60.00, 60.00, 60.00 degrees
Sites, in units of the cell vectors:
Os (0.6248, 0.6248, 0.6248)
Os (0.1256, 0.6248, 0.6248)
Os (0.6248, 0.6248, 0.1256)
Os (0.6248, 0.1256, 0.6248)
Mg (0.0000, 0.0000, 0.0000)
As (0.2500, 0.2500, 0.2500)


Record 2
Computed, not measured: crystalline In2SeCl at its relaxed geometry at the GGA-PBEsol level of DFT.

Results
The energy relative to the lowest polymorph listed for this composition is 0.046 eV/atom. The uncorrected formation energy comes out at -0.488 eV/atom. The calculation puts the density of states at the Fermi level at 0.53 states/eV/f.u.

Cell lengths 4.0974, 4.0974, 6.7007 Å; angles 90.00, 90.00, 90.00 degrees
Sites, in units of the cell vectors:
Cl (0.5000, 0.5000, 0.8082)
Se (0.0000, 0.0000, 0.3895)
In (0.0000, 0.0000, 0.8981)
In (0.5000, 0.5000, 0.4043)


Record 3
Computed, not measured: crystalline KCdW2 at its relaxed geometry at the GGA-PBEsol level of DFT.

Results
The calculation puts the density of states at the Fermi level at 3.31 states/eV/f.u. The calculation puts the formation energy at 1342 meV per atom.

Cell lengths 2.6739, 5.2810, 5.4975 Å; angles 90.00, 90.00, 95.16 degrees
Sites, in units of the cell vectors:
K (0.5000, 0.0000, 0.5000)
Cd (0.0000, 0.5000, 0.5000)
W (0.7689, 0.7501, 0.0000)
W (0.2311, 0.2499, 0.0000)


Record 4
Computed, not measured: crystalline HfZrB4 at its relaxed geometry at the GGA-PBEsol level of DFT.

Results
The calculation puts the density of states at the Fermi level at 0.41 states/eV/f.u. The calculation puts the formation energy at -1101 meV per atom.

Cell lengths 3.1403, 3.4778, 5.4436 Å; angles 90.00, 90.00, 90.00 degrees
Sites, in units of the cell vectors:
B (0.0000, 0.5000, 0.3319)
B (0.5000, 0.5000, 0.1653)
B (0.0000, 0.5000, 0.6681)
B (0.5000, 0.5000, 0.8347)
Zr (0.5000, 0.0000, 0.5000)
Hf (0.0000, 0.0000, 0.0000)